Entry from Alexandria via LeMat-Bulk: a relaxed structure of FeOsSe2 (PBE).

```
data_FeOsSe2
_chemical_formula_sum 'Fe2 Os2 Se4'
_symmetry_space_group_name_H-M 'C 1 2/m 1'
_symmetry_Int_Tables_number 12
_cell_length_a 7.6287
_cell_length_b 3.0999
_cell_length_c 5.4667
_cell_angle_alpha 90.00
_cell_angle_beta 103.25
_cell_angle_gamma 90.00
loop_
_symmetry_equiv_pos_as_xyz
'x,y,z'
'-x,-y,-z'
'-x,y,-z'
'x,-y,z'
'x+1/2,y+1/2,z'
'-x+1/2,-y+1/2,-z'
'-x+1/2,y+1/2,-z'
'x+1/2,-y+1/2,z'
loop_
_atom_site_label
_atom_site_type_symbol
_atom_site_fract_x
_atom_site_fract_y
_atom_site_fract_z
_atom_site_occupancy
Fe1 Fe 0.0000 0.0000 0.0000 1
Os1 Os 0.0000 0.5000 0.5000 1
Se1 Se 0.2504 0.0000 0.7504 1
```

Entry from Alexandria via LeMat-Bulk: a relaxed structure of CoSi2Os2 (PBE).

```
data_CoSi2Os2
_chemical_formula_sum 'Co2 Si4 Os4'
_symmetry_space_group_name_H-M 'P 4/m b m'
_symmetry_Int_Tables_number 127
_symmetry_space_group_name_Hall '-P 4 2ab'
_cell_length_a 6.9143
_cell_length_b 6.9143
_cell_length_c 2.8743
_cell_angle_alpha 90.00
_cell_angle_beta 90.00
_cell_angle_gamma 90.00
loop_
_atom_site_label
_atom_site_type_symbol
_atom_site_fract_x
_atom_site_fract_y
_atom_site_fract_z
_atom_site_occupancy
Co1 Co 0.0000 0.0000 0.0000 1
Si1 Si 0.1530 0.3470 0.5000 1
Os1 Os 0.1453 0.6453 0.0000 1
```

Computed values of energy relative to the elements, uncorrected (unit: kJ/mol of atoms) for the preceding records, in sequence: 42.0 1.5.
Computed values of polymorph energy (0 for the lowest one) (unit: eV/f.u.) for the preceding records, in sequence: 1.80 0.35.